First-principles (PBE-GGA) data for Y2Ho2Al3 after structural relaxation, as listed in the Alexandria database.

```
Y2Ho2Al3
1.0
11.8224 0.0000 0.0000
0.0000 3.7884 0.0000
-3.6049 0.0000 7.9552
Y Ho Al
4 4 6
direct
0.1195 0.0000 0.4513
0.3805 0.5000 0.5487
0.6195 0.5000 0.4513
0.8805 0.0000 0.5487
0.1407 0.5000 0.8268
0.3593 0.0000 0.1732
0.6407 0.0000 0.8268
0.8593 0.5000 0.1732
0.0000 0.0000 0.0000
0.1562 0.5000 0.1977
0.3438 0.0000 0.8023
0.5000 0.5000 0.0000
0.6562 0.0000 0.1977
0.8438 0.5000 0.8023
```

Results
Symmetry: C2/m, No. 12
Total magnetic moment (μB per cell): 0.0
Energy above the most stable polymorph in this dataset (meV per atom): 13
E (eV/atom): -5.03
Energy relative to the elements (eV per atom): -0.275